[1]
Density functional theory data (PBE) for a geometry-optimized DyGaPd2 structure.

Cell: 7.330 7.186 5.622 Å, 90.00 90.00 90.00°
Fractional positions:
Dy 0.029 0.250 0.144
Dy 0.471 0.750 0.644
Dy 0.529 0.250 0.356
Dy 0.971 0.750 0.856
Ga 0.115 0.750 0.358
Ga 0.385 0.250 0.858
Ga 0.615 0.750 0.142
Ga 0.885 0.250 0.642
Pd 0.184 0.051 0.588
Pd 0.184 0.449 0.588
Pd 0.316 0.551 0.088
Pd 0.316 0.949 0.088
Pd 0.684 0.051 0.912
Pd 0.684 0.449 0.912
Pd 0.816 0.551 0.412
Pd 0.816 0.949 0.412

Calculated values
SG: No. 62

[2]
Density functional theory data (PBE) for a geometry-optimized Dy8GaPd2 structure.

Cell: 9.208 9.208 6.810 Å, 106.32 106.32 32.13°
Fractional positions:
Dy 0.032 0.032 0.282
Dy 0.200 0.200 0.825
Dy 0.328 0.328 0.516
Dy 0.406 0.406 0.036
Dy 0.594 0.594 0.964
Dy 0.672 0.672 0.484
Dy 0.800 0.800 0.175
Dy 0.968 0.968 0.718
Ga 0.500 0.500 0.500
Pd 0.181 0.181 0.221
Pd 0.819 0.819 0.779

Calculated values
SG: No. 12

[3]
Density functional theory data (PBE) for a geometry-optimized Dy2GaPd structure.

Cell: 9.994 9.994 9.994 Å, 19.46 19.46 19.46°
Fractional positions:
Dy 0.090 0.090 0.090
Dy 0.910 0.910 0.910
Ga 0.500 0.500 0.500
Pd 0.000 0.000 0.000

Calculated values
SG: No. 166

[4]
Density functional theory data (PBE) for a geometry-optimized DyGa2Pd structure.

Cell: 3.292 3.292 6.854 Å, 90.00 90.00 90.00°
Fractional positions:
Dy 0.000 0.000 0.000
Ga 0.500 0.500 0.297
Ga 0.500 0.500 0.703
Pd 0.000 0.000 0.500

Calculated values
SG: No. 123

[5]
Density functional theory data (PBE) for a geometry-optimized Dy8GaPd2 structure.

Cell: 7.935 7.935 5.576 Å, 98.95 98.95 115.10°
Fractional positions:
Dy 0.000 0.000 0.000
Dy 0.051 0.300 0.603
Dy 0.159 0.616 0.191
Dy 0.300 0.051 0.603
Dy 0.468 0.719 0.797
Dy 0.616 0.159 0.191
Dy 0.719 0.468 0.797
Dy 0.757 0.757 0.376
Ga 0.382 0.382 0.100
Pd 0.078 0.685 0.686
Pd 0.685 0.078 0.686

Calculated values
SG: No. 8

[6]
Density functional theory data (PBE) for a geometry-optimized DyGa3Pd3 structure.

Cell: 6.778 6.778 6.778 Å, 90.00 90.00 90.00°
Fractional positions:
Dy 0.000 0.000 0.000
Dy 0.500 0.500 0.500
Ga 0.000 0.250 0.500
Ga 0.000 0.750 0.500
Ga 0.250 0.500 0.000
Ga 0.500 0.000 0.250
Ga 0.500 0.000 0.750
Ga 0.750 0.500 0.000
Pd 0.000 0.500 0.250
Pd 0.000 0.500 0.750
Pd 0.250 0.000 0.500
Pd 0.500 0.250 0.000
Pd 0.500 0.750 0.000
Pd 0.750 0.000 0.500

Calculated values
SG: No. 223

[7]
Density functional theory data (PBE) for a geometry-optimized DyGa2Pd3 structure.

Cell: 8.677 8.677 9.951 Å, 107.12 107.12 26.82°
Fractional positions:
Dy 0.000 0.000 0.000
Dy 0.164 0.164 0.706
Dy 0.836 0.836 0.294
Ga 0.194 0.194 0.127
Ga 0.362 0.362 0.544
Ga 0.458 0.458 0.219
Ga 0.542 0.542 0.781
Ga 0.638 0.638 0.456
Ga 0.806 0.806 0.873
Pd 0.040 0.040 0.333
Pd 0.216 0.216 0.392
Pd 0.320 0.320 0.040
Pd 0.387 0.387 0.810
Pd 0.500 0.500 0.500
Pd 0.613 0.613 0.190
Pd 0.680 0.680 0.960
Pd 0.784 0.784 0.608
Pd 0.960 0.960 0.667

Calculated values
SG: No. 12

[8]
Density functional theory data (PBE) for a geometry-optimized DyGaPd3 structure.

Cell: 6.229 6.229 6.229 Å, 65.88 65.88 65.88°
Fractional positions:
Dy 0.000 0.000 0.000
Dy 0.500 0.500 0.500
Ga 0.206 0.206 0.206
Ga 0.706 0.706 0.706
Pd 0.040 0.900 0.560
Pd 0.060 0.400 0.540
Pd 0.400 0.540 0.060
Pd 0.540 0.060 0.400
Pd 0.560 0.040 0.900
Pd 0.900 0.560 0.040

Calculated values
SG: No. 161

[9]
Density functional theory data (PBE) for a geometry-optimized Dy4Ga12Pd structure.

Cell: 7.469 7.469 7.469 Å, 109.47 109.47 109.47°
Fractional positions:
Dy 0.000 0.000 0.500
Dy 0.000 0.500 0.000
Dy 0.500 0.000 0.000
Dy 0.500 0.500 0.500
Ga 0.000 0.296 0.296
Ga 0.000 0.704 0.704
Ga 0.250 0.500 0.750
Ga 0.250 0.750 0.500
Ga 0.296 0.000 0.296
Ga 0.296 0.296 0.000
Ga 0.500 0.250 0.750
Ga 0.500 0.750 0.250
Ga 0.704 0.000 0.704
Ga 0.704 0.704 0.000
Ga 0.750 0.250 0.500
Ga 0.750 0.500 0.250
Pd 0.000 0.000 0.000

Calculated values
SG: No. 229

[10]
Density functional theory data (PBE) for a geometry-optimized DyGa2Pd3 structure.

Cell: 4.411 4.411 12.405 Å, 90.00 90.00 120.00°
Fractional positions:
Dy 0.000 0.000 0.250
Dy 0.000 0.000 0.750
Ga 0.333 0.667 0.086
Ga 0.333 0.667 0.414
Ga 0.667 0.333 0.586
Ga 0.667 0.333 0.914
Pd 0.000 0.000 0.000
Pd 0.000 0.000 0.500
Pd 0.333 0.667 0.626
Pd 0.333 0.667 0.874
Pd 0.667 0.333 0.126
Pd 0.667 0.333 0.374

Calculated values
SG: No. 194

[11]
Density functional theory data (PBE) for a geometry-optimized Dy3Ga3Pd structure.

Cell: 5.776 5.776 14.307 Å, 108.45 108.45 44.13°
Fractional positions:
Dy 0.032 0.032 0.381
Dy 0.106 0.106 0.926
Dy 0.239 0.239 0.232
Dy 0.761 0.761 0.768
Dy 0.894 0.894 0.074
Dy 0.968 0.968 0.619
Ga 0.367 0.367 0.460
Ga 0.391 0.391 0.924
Ga 0.474 0.474 0.771
Ga 0.526 0.526 0.229
Ga 0.609 0.609 0.076
Ga 0.633 0.633 0.540
Pd 0.254 0.254 0.609
Pd 0.746 0.746 0.391

Calculated values
SG: No. 12

[12]
Density functional theory data (PBE) for a geometry-optimized Dy2GaPd6 structure.

Cell: 7.702 7.702 3.630 Å, 103.58 103.58 58.90°
Fractional positions:
Dy 0.151 0.151 0.153
Dy 0.849 0.849 0.847
Ga 0.500 0.500 0.500
Pd 0.129 0.540 0.333
Pd 0.274 0.726 0.000
Pd 0.460 0.871 0.667
Pd 0.540 0.129 0.333
Pd 0.726 0.274 0.000
Pd 0.871 0.460 0.667

Calculated values
SG: No. 12

Asked for E_tot across the records above, the calculation gives -5.396, -4.998, -4.513, -4.556, -4.880, -4.431, -5.154, -5.246, -4.138, -5.198, -4.738, -5.399 eV/atom in order.
Asked for DOS(E_F) across the records above, the calculation gives 0.5418, 0.9427, 0.4647, 0.6289, 1.3021, 0.6455, 0.4850, 0.4956, 0.0194, 0.3629, 0.8166, 0.3936 states/eV per atom in order.